[1]
DFT (GGA-PBE) results for a relaxed ThInHg2 crystal.

Cell and atoms, written as POSCAR:
```
ThInHg2
1.0
3.746 0.000 0.000
0.000 3.746 0.000
0.000 0.000 7.445
Th In Hg
1 1 2
Direct
0.000 0.000 0.000
0.000 0.000 0.500
0.500 0.500 0.264
0.500 0.500 0.736
```

Properties
Calculated formation energy: -62 kJ/mol of formula units
Uncorrected energy: -2.851 eV per atom
D(E_F): 0.796 states/eV/atom
Volume: 26.12 A^3/atom
Size of the total moment: 0.000 μB/atom

[2]
DFT (GGA-PBE) results for a relaxed Ta2InSi crystal.

Cell and atoms, written as POSCAR:
```
Ta2InSi
1.0
4.110 0.000 0.000
0.000 4.110 0.000
0.000 0.000 4.192
Ta In Si
2 1 1
Direct
0.000 0.500 0.000
0.500 0.000 0.000
0.000 0.000 0.500
0.500 0.500 0.500
```

Properties
Uncorrected formation energy: 0.209 eV/atom
Uncorrected energy: -7.757 eV per atom
D(E_F): 0.661 states/eV/atom
Volume: 17.70 A^3/atom
Size of the total moment: 0.000 μB/atom

[3]
DFT (GGA-PBE) results for a relaxed CaAlPd crystal.

Cell and atoms, written as POSCAR:
```
CaAlPd
1.0
-1.685 1.685 5.417
1.685 -1.685 5.417
1.685 1.685 -5.417
Ca Al Pd
1 1 1
Direct
0.000 0.000 0.000
0.292 0.292 0.000
0.696 0.696 0.000
```

Properties
Calculated formation energy: -177 kJ/mol of formula units
Uncorrected energy: -4.258 eV per atom
D(E_F): 0.516 states/eV/atom
Volume: 20.50 A^3/atom
Size of the total moment: 0.000 μB/atom

[4]
DFT (GGA-PBE) results for a relaxed AgMo5 crystal.

Cell and atoms, written as POSCAR:
```
AgMo5
1.0
4.715 0.000 0.000
0.000 1.303 7.922
0.000 -1.303 7.922
Ag Mo
1 5
Direct
0.000 0.000 0.000
0.000 0.336 0.336
0.000 0.668 0.668
0.500 0.100 0.100
0.500 0.431 0.431
0.500 0.765 0.765
```

Properties
Calculated formation energy: 242 kJ/mol of formula units
Uncorrected energy: -9.082 eV per atom
D(E_F): 0.961 states/eV/atom
Volume: 16.23 A^3/atom
Size of the total moment: 0.000 μB/atom
Energy relative to the lowest polymorph listed for this composition: 5 kJ/mol of formula units

[5]
DFT (GGA-PBE) results for a relaxed BaSi4Ag crystal.

Cell and atoms, written as POSCAR:
```
BaSi4Ag
1.0
0.000 3.963 3.963
3.963 0.000 3.963
3.963 3.963 0.000
Ba Si Ag
1 4 1
Direct
0.000 0.000 0.000
0.153 0.616 0.616
0.616 0.153 0.616
0.616 0.616 0.153
0.616 0.616 0.616
0.250 0.250 0.250
```

Properties
Uncorrected formation energy: 0.250 eV/atom
Uncorrected energy: -4.161 eV per atom
D(E_F): 0.610 states/eV/atom
Volume: 20.75 A^3/atom
Size of the total moment: 0.000 μB/atom

[6]
DFT (GGA-PBE) results for a relaxed MgHgGe crystal.

Cell and atoms, written as POSCAR:
```
MgHgGe
1.0
4.613 0.000 0.000
-2.306 3.995 0.000
0.000 0.000 3.525
Mg Hg Ge
1 1 1
Direct
0.000 0.000 0.000
0.333 0.667 0.353
0.667 0.333 0.631
```

Properties
Calculated formation energy: 15 kJ/mol of formula units
Uncorrected energy: -2.120 eV per atom
D(E_F): 0.462 states/eV/atom
Volume: 21.65 A^3/atom
Size of the total moment: 0.000 μB/atom

[7]
DFT (GGA-PBE) results for a relaxed Mg3SeF crystal.

Cell and atoms, written as POSCAR:
```
Mg3SeF
1.0
5.227 0.000 0.000
0.000 5.227 0.000
0.000 0.000 5.227
Mg Se F
3 1 1
Direct
0.000 0.000 0.500
0.000 0.500 0.000
0.500 0.000 0.000
0.000 0.000 0.000
0.500 0.500 0.500
```

Properties
Uncorrected formation energy: -0.283 eV/atom
Uncorrected energy: -2.311 eV per atom
D(E_F): 1.010 states/eV/atom
Volume: 28.56 A^3/atom
Size of the total moment: 0.000 μB/atom
Energy relative to the lowest polymorph listed for this composition: 269 kJ/mol of formula units

[8]
DFT (GGA-PBE) results for a relaxed CaY2Tc crystal.

Cell and atoms, written as POSCAR:
```
CaY2Tc
1.0
0.000 3.673 3.673
3.673 0.000 3.673
3.673 3.673 0.000
Ca Y Tc
1 2 1
Direct
0.000 0.000 0.000
0.250 0.250 0.250
0.750 0.750 0.750
0.500 0.500 0.500
```

Properties
Calculated formation energy: 93 kJ/mol of formula units
Uncorrected energy: -6.082 eV per atom
D(E_F): 1.285 states/eV/atom
Volume: 24.78 A^3/atom
Size of the total moment: 0.000 μB/atom
Energy relative to the lowest polymorph listed for this composition: 89 kJ/mol of formula units

[9]
DFT (GGA-PBE) results for a relaxed La2NiP3Ir4 crystal.

Cell and atoms, written as POSCAR:
```
La2NiP3Ir4
1.0
4.163 0.000 0.000
0.000 4.163 0.000
0.000 0.000 9.879
La Ni P Ir
2 1 3 4
Direct
0.000 0.500 0.241
0.500 0.000 0.759
0.500 0.500 0.000
0.000 0.000 0.000
0.000 0.500 0.637
0.500 0.000 0.363
0.000 0.000 0.500
0.000 0.500 0.873
0.500 0.000 0.127
0.500 0.500 0.500
```

Properties
Calculated formation energy: -857 kJ/mol of formula units
Uncorrected energy: -7.619 eV per atom
D(E_F): 0.616 states/eV/atom
Volume: 17.12 A^3/atom
Size of the total moment: 0.001 μB/atom

[10]
DFT (GGA-PBE) results for a relaxed Gd3Ti5O12 crystal.

Cell and atoms, written as POSCAR:
```
Gd3Ti5O12
1.0
-6.351 6.351 6.351
6.351 -6.351 6.351
6.351 6.351 -6.351
Gd Ti O
12 20 48
Direct
0.125 0.250 0.375
0.125 0.375 0.750
0.250 0.375 0.125
0.250 0.875 0.625
0.375 0.125 0.250
0.375 0.750 0.125
0.625 0.250 0.875
0.625 0.875 0.750
0.750 0.125 0.375
0.750 0.625 0.875
0.875 0.625 0.250
0.875 0.750 0.625
0.000 0.000 0.000
0.000 0.000 0.500
0.000 0.500 0.000
0.000 0.500 0.500
0.125 0.750 0.875
0.125 0.875 0.250
0.250 0.125 0.875
0.250 0.625 0.375
0.375 0.250 0.625
0.375 0.625 0.750
0.500 0.000 0.000
0.500 0.000 0.500
0.500 0.500 0.000
0.500 0.500 0.500
0.625 0.375 0.250
0.625 0.750 0.375
0.750 0.375 0.625
0.750 0.875 0.125
0.875 0.125 0.750
0.875 0.250 0.125
0.026 0.207 0.122
0.026 0.319 0.904
0.085 0.707 0.681
0.085 0.878 0.404
0.096 0.622 0.415
0.096 0.974 0.681
0.122 0.026 0.207
0.122 0.596 0.915
0.181 0.207 0.585
0.181 0.474 0.596
0.207 0.122 0.026
0.207 0.585 0.181
0.293 0.319 0.915
0.293 0.474 0.378
0.319 0.904 0.026
0.319 0.915 0.293
0.378 0.293 0.474
0.378 0.585 0.904
0.404 0.085 0.878
0.404 0.819 0.526
0.415 0.096 0.622
0.415 0.819 0.793
0.474 0.378 0.293
0.474 0.596 0.181
0.526 0.404 0.819
0.526 0.622 0.707
0.585 0.181 0.207
0.585 0.904 0.378
0.596 0.181 0.474
0.596 0.915 0.122
0.622 0.415 0.096
0.622 0.707 0.526
0.681 0.085 0.707
0.681 0.096 0.974
0.707 0.526 0.622
0.707 0.681 0.085
0.793 0.415 0.819
0.793 0.878 0.974
0.819 0.526 0.404
0.819 0.793 0.415
0.878 0.404 0.085
0.878 0.974 0.793
0.904 0.026 0.319
0.904 0.378 0.585
0.915 0.122 0.596
0.915 0.293 0.319
0.974 0.681 0.096
0.974 0.793 0.878
```

Properties
Uncorrected formation energy: -3.056 eV/atom
Uncorrected energy: -10.117 eV per atom
D(E_F): 0.482 states/eV/atom
Volume: 12.81 A^3/atom
Size of the total moment: 0.839 μB/atom

[11]
DFT (GGA-PBE) results for a relaxed K2LaW crystal.

Cell and atoms, written as POSCAR:
```
K2LaW
1.0
5.011 0.000 0.000
0.000 5.011 0.000
0.000 0.000 6.049
K La W
2 1 1
Direct
0.000 0.000 0.235
0.000 0.000 0.765
0.500 0.500 0.500
0.500 0.500 0.000
```

Properties
Calculated formation energy: 626 kJ/mol of formula units
Uncorrected energy: -3.398 eV per atom
D(E_F): 1.139 states/eV/atom
Volume: 37.97 A^3/atom
Size of the total moment: 0.588 μB/atom
Energy relative to the lowest polymorph listed for this composition: 278 kJ/mol of formula units

[12]
DFT (GGA-PBE) results for a relaxed TaZn2Rh2 crystal.

Cell and atoms, written as POSCAR:
```
TaZn2Rh2
1.0
7.182 0.000 0.000
0.000 7.182 0.000
0.000 0.000 2.870
Ta Zn Rh
2 4 4
Direct
0.000 0.000 0.000
0.500 0.500 0.000
0.118 0.382 0.000
0.382 0.882 0.000
0.618 0.118 0.000
0.882 0.618 0.000
0.181 0.681 0.500
0.319 0.181 0.500
0.681 0.819 0.500
0.819 0.319 0.500
```

Properties
Calculated formation energy: -132 kJ/mol of formula units
Uncorrected energy: -6.094 eV per atom
D(E_F): 0.638 states/eV/atom
Volume: 14.80 A^3/atom
Size of the total moment: 0.000 μB/atom
Energy relative to the lowest polymorph listed for this composition: 47 kJ/mol of formula units

[13]
DFT (GGA-PBE) results for a relaxed H3Au5I12 crystal.

Cell and atoms, written as POSCAR:
```
H3Au5I12
1.0
-8.799 8.799 8.799
8.799 -8.799 8.799
8.799 8.799 -8.799
H Au I
12 20 48
Direct
0.125 0.250 0.375
0.125 0.375 0.750
0.250 0.375 0.125
0.250 0.875 0.625
0.375 0.125 0.250
0.375 0.750 0.125
0.625 0.250 0.875
0.625 0.875 0.750
0.750 0.125 0.375
0.750 0.625 0.875
0.875 0.625 0.250
0.875 0.750 0.625
0.000 0.000 0.000
0.000 0.000 0.500
0.000 0.500 0.000
0.000 0.500 0.500
0.125 0.750 0.875
0.125 0.875 0.250
0.250 0.125 0.875
0.250 0.625 0.375
0.375 0.250 0.625
0.375 0.625 0.750
0.500 0.000 0.000
0.500 0.000 0.500
0.500 0.500 0.000
0.500 0.500 0.500
0.625 0.375 0.250
0.625 0.750 0.375
0.750 0.375 0.625
0.750 0.875 0.125
0.875 0.125 0.750
0.875 0.250 0.125
0.007 0.153 0.172
0.007 0.354 0.836
0.019 0.172 0.664
0.019 0.347 0.354
0.146 0.153 0.481
0.146 0.493 0.664
0.153 0.172 0.007
0.153 0.481 0.146
0.164 0.672 0.519
0.164 0.993 0.646
0.172 0.007 0.153
0.172 0.664 0.019
0.328 0.347 0.493
0.328 0.481 0.836
0.336 0.854 0.507
0.336 0.981 0.828
0.347 0.354 0.019
0.347 0.493 0.328
0.354 0.019 0.347
0.354 0.836 0.007
0.481 0.146 0.153
0.481 0.836 0.328
0.493 0.328 0.347
0.493 0.664 0.146
0.507 0.336 0.854
0.507 0.672 0.653
0.519 0.164 0.672
0.519 0.854 0.847
0.646 0.164 0.993
0.646 0.981 0.653
0.653 0.507 0.672
0.653 0.646 0.981
0.664 0.019 0.172
0.664 0.146 0.493
0.672 0.519 0.164
0.672 0.653 0.507
0.828 0.336 0.981
0.828 0.993 0.847
0.836 0.007 0.354
0.836 0.328 0.481
0.847 0.519 0.854
0.847 0.828 0.993
0.854 0.507 0.336
0.854 0.847 0.519
0.981 0.653 0.646
0.981 0.828 0.336
0.993 0.646 0.164
0.993 0.847 0.828
```

Properties
Uncorrected energy: -1.930 eV per atom
D(E_F): 0.297 states/eV/atom
Volume: 34.07 A^3/atom
Size of the total moment: 0.000 μB/atom

[14]
DFT (GGA-PBE) results for a relaxed YCrPb crystal.

Cell and atoms, written as POSCAR:
```
YCrPb
1.0
3.467 0.000 0.000
-1.733 3.002 0.000
0.000 0.000 7.332
Y Cr Pb
1 1 1
Direct
0.000 0.000 0.000
0.333 0.667 0.319
0.667 0.333 0.626
```

Properties
Calculated formation energy: 111 kJ/mol of formula units
Uncorrected energy: -6.216 eV per atom
D(E_F): 0.694 states/eV/atom
Volume: 25.44 A^3/atom
Size of the total moment: 1.042 μB/atom

[15]
DFT (GGA-PBE) results for a relaxed OsRuPt2 crystal.

Cell and atoms, written as POSCAR:
```
OsRuPt2
1.0
4.770 0.000 0.000
0.000 2.750 0.000
-1.624 0.000 4.520
Os Ru Pt
1 1 2
Direct
0.000 0.000 0.000
0.000 0.500 0.500
0.500 0.000 0.500
0.500 0.500 0.000
```

Properties
Calculated formation energy: 52 kJ/mol of formula units
Uncorrected energy: -8.012 eV per atom
D(E_F): 1.312 states/eV/atom
Volume: 14.82 A^3/atom
Size of the total moment: 0.000 μB/atom
Energy relative to the lowest polymorph listed for this composition: 56 kJ/mol of formula units

[16]
DFT (GGA-PBE) results for a relaxed LaHoZnCu crystal.

Cell and atoms, written as POSCAR:
```
LaHoZnCu
1.0
0.000 3.617 3.617
3.617 0.000 3.617
3.617 3.617 0.000
La Ho Zn Cu
1 1 1 1
Direct
0.000 0.000 0.000
0.500 0.500 0.500
0.250 0.250 0.250
0.750 0.750 0.750
```

Properties
Calculated formation energy: -91 kJ/mol of formula units
Uncorrected energy: -3.955 eV per atom
D(E_F): 0.571 states/eV/atom
Volume: 23.66 A^3/atom
Size of the total moment: 0.000 μB/atom
Energy relative to the lowest polymorph listed for this composition: 8 kJ/mol of formula units

[17]
DFT (GGA-PBE) results for a relaxed Ac5Tb2Pm5 crystal.

Cell and atoms, written as POSCAR:
```
Ac5Tb2Pm5
1.0
7.985 -2.676 0.000
7.985 2.676 0.000
-5.315 0.000 10.727
Ac Tb Pm
5 2 5
Direct
0.000 0.000 0.000
0.160 0.160 0.496
0.253 0.253 0.247
0.747 0.747 0.753
0.840 0.840 0.504
0.084 0.084 0.757
0.916 0.916 0.243
0.332 0.332 0.999
0.422 0.422 0.752
0.500 0.500 0.500
0.578 0.578 0.248
0.668 0.668 0.001
```

Properties
Calculated formation energy: 52 kJ/mol of formula units
Uncorrected energy: -4.418 eV per atom
D(E_F): 1.693 states/eV/atom
Volume: 38.20 A^3/atom
Size of the total moment: 0.000 μB/atom

[18]
DFT (GGA-PBE) results for a relaxed SnPd8Au2 crystal.

Cell and atoms, written as POSCAR:
```
SnPd8Au2
1.0
3.836 -6.342 0.000
3.836 6.342 0.000
-3.380 0.000 3.915
Sn Pd Au
1 8 2
Direct
0.000 0.000 0.000
0.101 0.324 0.608
0.217 0.783 0.000
0.324 0.101 0.608
0.407 0.407 0.172
0.593 0.593 0.828
0.676 0.899 0.392
0.783 0.217 0.000
0.899 0.676 0.392
0.307 0.693 0.500
0.693 0.307 0.500
```

Properties
Calculated formation energy: -35 kJ/mol of formula units
Uncorrected energy: -4.769 eV per atom
D(E_F): 1.062 states/eV/atom
Volume: 17.32 A^3/atom
Size of the total moment: 0.000 μB/atom
Energy relative to the lowest polymorph listed for this composition: 24 kJ/mol of formula units

[19]
DFT (GGA-PBE) results for a relaxed ZrSbO2 crystal.

Cell and atoms, written as POSCAR:
```
ZrSbO2
1.0
1.636 0.944 7.200
-1.636 0.944 7.200
0.000 -1.889 7.200
Zr Sb O
1 1 2
Direct
0.000 0.000 0.000
0.500 0.500 0.500
0.095 0.095 0.095
0.905 0.905 0.905
```

Properties
Uncorrected formation energy: -1.007 eV/atom
Uncorrected energy: -6.654 eV per atom
D(E_F): 0.679 states/eV/atom
Volume: 16.68 A^3/atom
Size of the total moment: 0.000 μB/atom